AcLa2Pb3: relaxed, PBE.

Lattice parameters (Å, degrees): 3.5789 6.1005 9.6486 108.43 90.00 90.00
Closest atoms and distances in Å follow each position.
Element x y z (fractional)
Pb 0.5000 0.8297 0.6594  6 La 3.49-3.54, 2 Pb 3.58, 2 Ac 3.59
La 0.0000 0.3340 0.6679  8 Pb 3.49-3.54, 2 La 3.58
Ac 0.0000 0.0000 0.0000  8 Pb 3.54-3.59, 2 Ac 3.58
La 0.0000 0.6660 0.3321  8 Pb 3.49-3.54, 2 La 3.58
Pb 0.5000 0.1703 0.3406  6 La 3.49-3.54, 2 Pb 3.58, 2 Ac 3.59
Pb 0.5000 0.5000 0.0000  4 La 3.53, 4 Ac 3.54, 2 Pb 3.58

Properties
Raw total energy, eV per atom: -4.706
DOS(E_F), states/eV per cell: 5.8
Distance to the lowest polymorph of the same formula, meV/atom: 0
Formation enthalpy at 0 K, kJ/mol of atoms: -50.6
Total magnetization, μB/atom: 0.09